HfSe | OQMD via LeMat-Bulk | GGA-PBE | relaxed; E_tot = -0.2598 hartree per atom; total moment = 0.0853 μB per atom; space group = F-43m, No. 216
1.0
2.618 -3.288 -0.287
-1.421 -3.895 0.747
-0.401 -2.741 -3.174
Hf Se
1 1
direct
0.000 0.000 0.000 Hf
0.250 0.250 0.250 Se

NaNbZnPt | OQMD via LeMat-Bulk | GGA-PBE | relaxed; E_tot = -0.1750 hartree per atom; total moment = 0.0008 μB per atom; polymorph energy (0 for the lowest one) = 0.0 meV per atom; space group = F-43m, No. 216
1.0
0.000 3.184 3.184
3.184 0.000 3.184
3.184 3.184 0.000
Na Nb Pt Zn
1 1 1 1
direct
0.750 0.750 0.750 Na
0.500 0.500 0.500 Nb
0.250 0.250 0.250 Pt
0.000 0.000 0.000 Zn

TcB3 | OQMD via LeMat-Bulk | GGA-PBE | relaxed; E_tot = -0.2852 hartree per atom; total moment = 0.0077 μB per atom; polymorph energy (0 for the lowest one) = 165.7 meV per atom; space group = R-3m, No. 166
1.0
-0.537 -1.979 3.805
3.244 -2.834 0.347
2.869 1.784 2.696
B Tc
6 2
direct
0.672 0.328 0.000 B
0.328 0.672 0.000 B
0.672 0.000 0.328 B
0.000 0.672 0.328 B
0.328 0.000 0.672 B
0.000 0.328 0.672 B
0.185 0.185 0.185 Tc
0.815 0.815 0.815 Tc

LiYOs2 | OQMD via LeMat-Bulk | GGA-PBE | relaxed; E_tot = -0.2759 hartree per atom; total moment = 0.0009 μB per atom; space group = F-43m, No. 216
1.0
4.128 -1.821 -0.417
0.620 -4.416 0.805
0.894 -2.824 -3.428
Li Os Y
1 2 1
direct
0.500 0.500 0.500 Li
0.000 0.000 0.000 Os
0.750 0.750 0.750 Os
0.250 0.250 0.250 Y

Nb2In3W4C3 | OQMD via LeMat-Bulk | GGA-PBE | relaxed; E_tot = -0.3303 hartree per atom; total moment = 0.0002 μB per atom; space group = C2/c, No. 15
1.0
-3.411 -2.890 3.176
-0.244 -5.456 -0.491
11.366 1.448 8.802
W C In Nb
8 6 6 4
direct
0.857 0.692 0.578 W
0.308 0.143 0.922 W
0.976 0.806 0.922 W
0.024 0.194 0.078 W
0.692 0.857 0.078 W
0.143 0.308 0.422 W
0.806 0.976 0.422 W
0.194 0.024 0.578 W
0.000 0.500 0.000 C
0.668 0.163 0.000 C
0.837 0.332 0.500 C
0.500 0.000 0.500 C
0.163 0.668 0.500 C
0.332 0.837 0.000 C
0.415 0.235 0.250 In
0.067 0.933 0.250 In
0.765 0.585 0.250 In
0.235 0.415 0.750 In
0.933 0.067 0.750 In
0.585 0.765 0.750 In
0.363 0.529 0.087 Nb
0.471 0.637 0.413 Nb
0.529 0.363 0.587 Nb
0.637 0.471 0.913 Nb

RbTmHgS3 | OQMD via LeMat-Bulk | GGA-PBE | relaxed; E_tot = -0.1560 hartree per atom; total moment = 0.0003 μB per atom; space group = P2_1/m, No. 11
1.0
-2.286 7.102 -4.124
-2.403 1.052 3.144
8.325 1.875 5.736
Hg Rb S Tm
2 2 6 2
direct
0.593 0.250 0.117 Hg
0.407 0.750 0.883 Hg
0.257 0.750 0.238 Rb
0.743 0.250 0.762 Rb
0.744 0.750 0.061 S
0.033 0.250 0.362 S
0.604 0.250 0.363 S
0.396 0.750 0.637 S
0.967 0.750 0.638 S
0.256 0.250 0.939 S
0.826 0.750 0.369 Tm
0.174 0.250 0.631 Tm

> What is the E_tot in the fifth record?

-0.3303 hartree per atom

> E_tot of number 6 (RbTmHgS3)?

-0.1560 hartree per atom

What did the third record say?
TcB3 | OQMD via LeMat-Bulk | GGA-PBE | relaxed; E_tot = -0.2852 hartree per atom; total moment = 0.0077 μB per atom; polymorph energy (0 for the lowest one) = 165.7 meV per atom; space group = R-3m, No. 166
1.0
-0.537 -1.979 3.805
3.244 -2.834 0.347
2.869 1.784 2.696
B Tc
6 2
direct
0.672 0.328 0.000 B
0.328 0.672 0.000 B
0.672 0.000 0.328 B
0.000 0.672 0.328 B
0.328 0.000 0.672 B
0.000 0.328 0.672 B
0.185 0.185 0.185 Tc
0.815 0.815 0.815 Tc

> Which formula does entry 4 have?

LiYOs2